{"formula": "Mg6Rh", "functional": "PBE-GGA", "state": "relaxed", "dos_at_fermi_per_ev_fu": 2.795, "delta_e_f_ev_per_atom": -0.212, "spacegroup": "Cmcm (63)", "lattice": [[5.616, 0.026, 0.000], [-0.724, 5.569, 0.000], [0.000, 0.000, 9.235]], "species": ["Mg", "Mg", "Mg", "Mg", "Mg", "Mg", "Mg", "Mg", "Mg", "Mg", "Mg", "Mg", "Rh", "Rh"], "fractional_positions": [[0.327, 0.673, 0.000], [0.673, 0.327, 0.500], [0.673, 0.327, 0.000], [0.327, 0.673, 0.500], [0.165, 0.165, 0.913], [0.835, 0.835, 0.413], [0.165, 0.165, 0.587], [0.835, 0.835, 0.087], [0.601, 0.971, 0.750], [0.399, 0.029, 0.250], [0.971, 0.601, 0.750], [0.029, 0.399, 0.250], [0.466, 0.466, 0.750], [0.534, 0.534, 0.250]]}